1.
Material: LiB4C4
Method: DFT, PBE-GGA
State: optimized geometry

The density of states at the Fermi level is 0.18 states/eV/atom. The value obtained for the energy of formation is 0.148 eV per atom.

The structure belongs to space group C2/m (No. 12); the cell edges are 20.9716, 2.7697 and 4.7795 Å and the angles 90.00°, 93.76° and 90.00°. The inequivalent atoms are Li at (0.1188, 0.0000, 0.1355), B at (0.0306, 0.5000, 0.2288), B at (0.0498, 0.0000, 0.7419), B at (0.2098, 0.0000, 0.4985), B at (0.2099, 0.5000, 0.9930), C at (0.0338, 0.0000, 0.4085), C at (0.0545, 0.5000, 0.9071), C at (0.2083, 0.5000, 0.3283) and C at (0.2103, 0.0000, 0.8275).

=====

2.
Material: ZrPa4P5
Method: DFT, PBE-GGA
State: optimized geometry

The density of states at the Fermi level is 1.05 states/eV/atom. The value obtained for the energy of formation is -1.332 eV per atom.

The structure belongs to space group I4/m (No. 87); the cell edges are 8.7687, 8.7687 and 5.5692 Å and the angles 90.00°, 90.00° and 90.00°. The inequivalent atoms are Zr at (0.0000, 0.0000, 0.0000), Pa at (0.0982, 0.7000, 0.5000), P at (0.0000, 0.0000, 0.5000) and P at (0.0985, 0.7077, 0.0000).

=====

3.
Material: La3Zn4Ni4
Method: DFT, PBE-GGA
State: optimized geometry

The density of states at the Fermi level is 0.64 states/eV/atom. The value obtained for the energy of formation is -0.361 eV per atom.

The structure belongs to space group Immm (No. 71); the cell edges are 4.0612, 7.3355 and 13.8999 Å and the angles 90.00°, 90.00° and 90.00°. The inequivalent atoms are La at (0.0000, 0.0000, 0.0000), La at (0.0000, 0.5000, 0.1282), Zn at (0.0000, 0.3127, 0.3287), Ni at (0.0000, 0.0000, 0.2184) and Ni at (0.0000, 0.1809, 0.5000).

=====

4.
Material: BeMo2Rh
Method: DFT, PBE-GGA
State: optimized geometry

The density of states at the Fermi level is 0.59 states/eV/atom. The value obtained for the energy of formation is -0.077 eV per atom.

The structure belongs to space group Pmmm (No. 47); the cell edges are 2.7093, 3.9626 and 5.1506 Å and the angles 90.00°, 90.00° and 90.00°. The inequivalent atoms are Be at (0.0000, 0.0000, 0.0000), Mo at (0.5000, 0.5000, 0.2371) and Rh at (0.0000, 0.0000, 0.5000).